1.
Here is crystalline Sm2CdGa3Ni4 at its relaxed geometry from Alexandria. Energies are from PBE.

```
data_Sm2CdGa3Ni4
_space_group_name_H-M_alt 'P -4 m 2'
_space_group_IT_number 115
_space_group_name_Hall 'P -4 -2'
_cell_length_a 4.125
_cell_length_b 4.125
_cell_length_c 10.325
_cell_angle_alpha 90.00
_cell_angle_beta 90.00
_cell_angle_gamma 90.00
loop_
_atom_site_label
_atom_site_fract_x
_atom_site_fract_y
_atom_site_fract_z
Sm1 0.000 0.500 0.238
Cd1 0.000 0.000 0.500
Ga1 0.000 0.500 0.880
Ga2 0.500 0.500 0.500
Ni1 0.000 0.000 0.000
Ni2 0.000 0.500 0.651
Ni3 0.500 0.500 0.000
```

=====

2.
Here is crystalline CdGa2NiSn at its relaxed geometry from Alexandria. Energies are from PBE.

```
data_CdGa2NiSn
_space_group_name_H-M_alt 'P 4/m m m'
_space_group_IT_number 123
_space_group_name_Hall '-P 4 2'
_cell_length_a 4.619
_cell_length_b 4.619
_cell_length_c 5.122
_cell_angle_alpha 90.00
_cell_angle_beta 90.00
_cell_angle_gamma 90.00
loop_
_atom_site_label
_atom_site_fract_x
_atom_site_fract_y
_atom_site_fract_z
Cd1 0.000 0.000 0.000
Ga1 0.000 0.500 0.500
Ni1 0.500 0.500 0.500
Sn1 0.500 0.500 0.000
```

=====

3.
Here is crystalline CdGaNiSn2 at its relaxed geometry from Alexandria. Energies are from PBE.

```
data_CdGaNiSn2
_space_group_name_H-M_alt 'P 4/m m m'
_space_group_IT_number 123
_space_group_name_Hall '-P 4 2'
_cell_length_a 5.066
_cell_length_b 5.066
_cell_length_c 4.602
_cell_angle_alpha 90.00
_cell_angle_beta 90.00
_cell_angle_gamma 90.00
loop_
_atom_site_label
_atom_site_fract_x
_atom_site_fract_y
_atom_site_fract_z
Cd1 0.000 0.000 0.000
Ga1 0.500 0.500 0.000
Ni1 0.500 0.500 0.500
Sn1 0.000 0.500 0.500
```

=====

4.
Here is crystalline SrCd2GaNi at its relaxed geometry from Alexandria. Energies are from PBE.

```
data_SrCd2GaNi
_space_group_name_H-M_alt 'P 4/m m m'
_space_group_IT_number 123
_space_group_name_Hall '-P 4 2'
_cell_length_a 5.056
_cell_length_b 5.056
_cell_length_c 4.674
_cell_angle_alpha 90.00
_cell_angle_beta 90.00
_cell_angle_gamma 90.00
loop_
_atom_site_label
_atom_site_fract_x
_atom_site_fract_y
_atom_site_fract_z
Sr1 0.000 0.000 0.000
Cd1 0.000 0.500 0.500
Ga1 0.500 0.500 0.000
Ni1 0.500 0.500 0.500
```

=====

5.
Here is crystalline Tb2CdGa3Ni4 at its relaxed geometry from Alexandria. Energies are from PBE.

```
data_Tb2CdGa3Ni4
_space_group_name_H-M_alt 'P -4 m 2'
_space_group_IT_number 115
_space_group_name_Hall 'P -4 -2'
_cell_length_a 4.064
_cell_length_b 4.064
_cell_length_c 10.398
_cell_angle_alpha 90.00
_cell_angle_beta 90.00
_cell_angle_gamma 90.00
loop_
_atom_site_label
_atom_site_fract_x
_atom_site_fract_y
_atom_site_fract_z
Tb1 0.000 0.500 0.238
Cd1 0.000 0.000 0.500
Ga1 0.000 0.500 0.879
Ga2 0.500 0.500 0.500
Ni1 0.000 0.000 0.000
Ni2 0.000 0.500 0.653
Ni3 0.500 0.500 0.000
```

=====

6.
Here is crystalline TbCdGaNi at its relaxed geometry from Alexandria. Energies are from PBE.

```
data_TbCdGaNi
_space_group_name_H-M_alt 'F -4 3 m'
_space_group_IT_number 216
_space_group_name_Hall 'F -4 2 3'
_cell_length_a 6.703
_cell_length_b 6.703
_cell_length_c 6.703
_cell_angle_alpha 90.00
_cell_angle_beta 90.00
_cell_angle_gamma 90.00
loop_
_atom_site_label
_atom_site_fract_x
_atom_site_fract_y
_atom_site_fract_z
Tb1 0.000 0.000 0.000
Cd1 0.000 0.000 0.500
Ga1 0.250 0.250 0.250
Ni1 0.250 0.250 0.750
```

=====

7.
Here is crystalline TlCdGa2Ni at its relaxed geometry from Alexandria. Energies are from PBE.

```
data_TlCdGa2Ni
_space_group_name_H-M_alt 'P 4/m m m'
_space_group_IT_number 123
_space_group_name_Hall '-P 4 2'
_cell_length_a 5.070
_cell_length_b 5.070
_cell_length_c 5.671
_cell_angle_alpha 90.00
_cell_angle_beta 90.00
_cell_angle_gamma 90.00
loop_
_atom_site_label
_atom_site_fract_x
_atom_site_fract_y
_atom_site_fract_z
Tl1 0.000 0.000 0.000
Cd1 0.000 0.000 0.500
Ga1 0.000 0.500 0.500
Ni1 0.500 0.500 0.000
```

=====

8.
Here is crystalline Tl2CdGaNi at its relaxed geometry from Alexandria. Energies are from PBE.

```
data_Tl2CdGaNi
_space_group_name_H-M_alt 'P 4/m m m'
_space_group_IT_number 123
_space_group_name_Hall '-P 4 2'
_cell_length_a 5.449
_cell_length_b 5.449
_cell_length_c 5.036
_cell_angle_alpha 90.00
_cell_angle_beta 90.00
_cell_angle_gamma 90.00
loop_
_atom_site_label
_atom_site_fract_x
_atom_site_fract_y
_atom_site_fract_z
Tl1 0.000 0.500 0.000
Cd1 0.000 0.000 0.500
Ga1 0.000 0.000 0.000
Ni1 0.500 0.500 0.500
```

=====

Record order is preserved below.
Formation enthalpy at 0 K: -455; -28; 19; -226; -455; -298; 936; 805 meV/atom